[1]
Compound: PrNdHgBi
Source: Alexandria via LeMat-Bulk
Functional: GGA-PBE
Structure: relaxed Values from VASP.

Computed properties:
ΔH_f (0 K): -585 meV/atom
Calculated density: 9.6 Mg/m³
Symmetry: F-43m (216)
Total magnetic moment: 0.000 μB per formula unit
Crystal system: cubic

The structure in Quantum ESPRESSO input format:
```
&SYSTEM
  ibrav = 0, nat = 4, ntyp = 4
/
ATOMIC_SPECIES
Pr 140.91 Pr.upf
Nd 144.24 Nd.upf
Bi 208.98 Bi.upf
Hg 200.59 Hg.upf
ATOMIC_POSITIONS crystal
Pr 0.500 0.500 0.500
Nd 0.000 0.000 0.000
Bi 0.750 0.750 0.750
Hg 0.250 0.250 0.250
CELL_PARAMETERS angstrom
5.533 0.000 0.000
2.766 4.792 0.000
2.766 1.597 4.518
```


[2]
Compound: Na2In3Ag2
Source: Alexandria via LeMat-Bulk
Functional: GGA-PBE
Structure: relaxed Values from VASP.

Computed properties:
ΔH_f (0 K): -108 meV/atom
Calculated density: 5.8 Mg/m³
Symmetry: C2/m (12)
Total magnetic moment: 0.000 μB per formula unit
Crystal system: monoclinic

The structure in Quantum ESPRESSO input format:
```
&SYSTEM
  ibrav = 0, nat = 7, ntyp = 3
/
ATOMIC_SPECIES
Na 22.99 Na.upf
In 114.82 In.upf
Ag 107.87 Ag.upf
ATOMIC_POSITIONS crystal
Na 0.844 0.689 0.213
Na 0.156 0.311 0.787
In 0.500 0.000 0.000
In 0.630 0.260 0.455
In 0.370 0.740 0.545
Ag 0.879 0.758 0.797
Ag 0.121 0.242 0.203
CELL_PARAMETERS angstrom
-3.661 -2.763 -1.298
4.846 -0.760 -3.299
0.446 -3.609 6.424
```


[3]
Compound: LaScPS2
Source: Alexandria via LeMat-Bulk
Functional: GGA-PBE
Structure: relaxed Values from VASP.

Computed properties:
Calculated density: 3.0 Mg/m³
Symmetry: P4/mmm (123)
Formation energy without anion corrections: -96 kJ/mol of formula units
Total magnetic moment: 0.411 μB per formula unit
Energy relative to the lowest polymorph listed for this composition: 1076.9 meV per atom
Crystal system: tetragonal

The structure in Quantum ESPRESSO input format:
```
&SYSTEM
  ibrav = 0, nat = 5, ntyp = 4
/
ATOMIC_SPECIES
Sc 44.96 Sc.upf
P 30.97 P.upf
S 32.06 S.upf
La 138.91 La.upf
ATOMIC_POSITIONS crystal
Sc 0.500 0.500 0.500
P 0.000 0.000 0.500
S 0.000 0.500 0.000
S 0.500 0.000 0.000
La 0.000 0.000 0.000
CELL_PARAMETERS angstrom
5.345 0.000 0.000
0.000 5.345 0.000
0.000 0.000 5.378
```


[4]
Compound: Pr4DyHo2Er
Source: Alexandria via LeMat-Bulk
Functional: GGA-PBE
Structure: relaxed Values from VASP.

Computed properties:
ΔH_f (0 K): 17 meV/atom
Calculated density: 7.6 Mg/m³
Symmetry: Pmmm (47)
Total magnetic moment: 0.000 μB per formula unit
Crystal system: orthorhombic

The structure in Quantum ESPRESSO input format:
```
&SYSTEM
  ibrav = 0, nat = 8, ntyp = 4
/
ATOMIC_SPECIES
Pr 140.91 Pr.upf
Dy 162.50 Dy.upf
Ho 164.93 Ho.upf
Er 167.26 Er.upf
ATOMIC_POSITIONS crystal
Pr 0.000 0.751 0.749
Pr 0.000 0.249 0.251
Pr 0.500 0.749 0.251
Pr 0.500 0.251 0.749
Dy 0.500 0.500 0.000
Ho 0.000 0.000 0.000
Ho 0.500 0.000 0.500
Er 0.000 0.500 0.500
CELL_PARAMETERS angstrom
5.180 0.000 0.000
0.000 5.027 1.124
0.000 2.841 10.915
```


[5]
Compound: LiIn2Ag2
Source: Alexandria via LeMat-Bulk
Functional: GGA-PBE
Structure: relaxed Values from VASP.

Computed properties:
ΔH_f (0 K): -52 meV/atom
Calculated density: 7.0 Mg/m³
Symmetry: P4/mbm (127)
Total magnetic moment: 0.000 μB per formula unit
Energy relative to the lowest polymorph listed for this composition: 101.7 meV per atom
Crystal system: tetragonal

The structure in Quantum ESPRESSO input format:
```
&SYSTEM
  ibrav = 0, nat = 10, ntyp = 3
/
ATOMIC_SPECIES
Li 6.94 Li.upf
Ag 107.87 Ag.upf
In 114.82 In.upf
ATOMIC_POSITIONS crystal
Li 0.000 0.000 0.000
Li 0.500 0.500 0.000
Ag 0.169 0.669 0.500
Ag 0.669 0.831 0.500
Ag 0.831 0.331 0.500
Ag 0.331 0.169 0.500
In 0.367 0.867 0.000
In 0.867 0.633 0.000
In 0.633 0.133 0.000
In 0.133 0.367 0.000
CELL_PARAMETERS angstrom
8.245 0.000 0.000
0.000 8.245 0.000
0.000 0.000 3.177
```


Repeat the second record exactly.
Compound: Na2In3Ag2
Source: Alexandria via LeMat-Bulk
Functional: GGA-PBE
Structure: relaxed Values from VASP.

Computed properties:
ΔH_f (0 K): -108 meV/atom
Calculated density: 5.8 Mg/m³
Symmetry: C2/m (12)
Total magnetic moment: 0.000 μB per formula unit
Crystal system: monoclinic

The structure in Quantum ESPRESSO input format:
```
&SYSTEM
  ibrav = 0, nat = 7, ntyp = 3
/
ATOMIC_SPECIES
Na 22.99 Na.upf
In 114.82 In.upf
Ag 107.87 Ag.upf
ATOMIC_POSITIONS crystal
Na 0.844 0.689 0.213
Na 0.156 0.311 0.787
In 0.500 0.000 0.000
In 0.630 0.260 0.455
In 0.370 0.740 0.545
Ag 0.879 0.758 0.797
Ag 0.121 0.242 0.203
CELL_PARAMETERS angstrom
-3.661 -2.763 -1.298
4.846 -0.760 -3.299
0.446 -3.609 6.424
```